[1]
# Cs4Ce3ZnS8 (PBE, relaxed)
data_Cs4Ce3ZnS8
_chemical_formula_sum 'Cs8 Ce6 Zn2 S16'
_cell_length_a 14.625
_cell_length_b 8.261
_cell_length_c 9.370
_cell_angle_alpha 90.00
_cell_angle_beta 121.00
_cell_angle_gamma 90.00
_space_group_name_H-M_alt 'C 1 2/m 1'
_space_group_IT_number 12
loop_
_space_group_symop_operation_xyz
'x,y,z'
'-x,-y,-z'
'-x,y,-z'
'x,-y,z'
'x+1/2,y+1/2,z'
'-x+1/2,-y+1/2,-z'
'-x+1/2,y+1/2,-z'
'x+1/2,-y+1/2,z'
loop_
_atom_site_label
_atom_site_type_symbol
_atom_site_fract_x
_atom_site_fract_y
_atom_site_fract_z
Cs1 Cs 0.000 0.000 0.000
Cs2 Cs 0.000 0.500 0.000
Cs3 Cs 0.250 0.250 0.000
Ce1 Ce 0.000 0.000 0.500
Ce2 Ce 0.250 0.250 0.500
Zn1 Zn 0.000 0.500 0.500
S1 S 0.022 0.264 0.326
S2 S 0.227 0.000 0.686
S3 S 0.237 0.500 0.689
# Total magnetic moment (μB/atom): 0.13
# DOS at the Fermi energy (states/eV/cell): 25.89
# DFT total energy (eV/atom): -4.9618

***

[2]
# Rb3Dy2PbO6 (PBE, relaxed)
data_Rb3Dy2PbO6
_chemical_formula_sum 'Rb6 Dy4 Pb2 O12'
_cell_length_a 6.160
_cell_length_b 10.671
_cell_length_c 6.891
_cell_angle_alpha 90.00
_cell_angle_beta 107.29
_cell_angle_gamma 90.00
_space_group_name_H-M_alt 'C 1 2/m 1'
_space_group_IT_number 12
loop_
_space_group_symop_operation_xyz
'x,y,z'
'-x,-y,-z'
'-x,y,-z'
'x,-y,z'
'x+1/2,y+1/2,z'
'-x+1/2,-y+1/2,-z'
'-x+1/2,y+1/2,-z'
'x+1/2,-y+1/2,z'
loop_
_atom_site_label
_atom_site_type_symbol
_atom_site_fract_x
_atom_site_fract_y
_atom_site_fract_z
Rb1 Rb 0.000 0.000 0.000
Rb2 Rb 0.000 0.336 0.000
Dy1 Dy 0.000 0.167 0.500
Pb1 Pb 0.000 0.500 0.500
O1 O 0.210 0.000 0.681
O2 O 0.236 0.325 0.682
# Total magnetic moment (μB/atom): 0.06
# DOS at the Fermi energy (states/eV/cell): 8.86
# DFT total energy (eV/atom): -5.9397

***

In the order shown, the computed energy relative to the elements, uncorrected values come out to -23.9, -25.7 eV/f.u..